# 1
The following is a DFT calculation (PBE) of a geometry-optimized Pr7Y2Th2 structure.

## Properties
- uncorrected energy (eV/atom) = -5.388
- Fermi-level density of states (states/eV/f.u.) = 15.46
- size of the total moment (μB per formula unit) = 0.00
- ρ (g/cm3) = 7.0
- E_form (eV per atom) = 0.18
- space group = C2/m (12)

abc: 8.866 6.127 8.866
angles: 63.84 98.06 116.16
Atoms (fractional coordinates):
Th: 0.217 0.500 0.217
Th: 0.783 0.500 0.783
Pr: 0.564 0.333 0.436
Pr: 0.000 0.000 0.000
Pr: 0.036 0.807 0.408
Pr: 0.964 0.193 0.592
Pr: 0.592 0.807 0.964
Pr: 0.436 0.667 0.564
Pr: 0.408 0.193 0.036
Y: 0.780 0.168 0.220
Y: 0.220 0.832 0.780

=====

# 2
The following is a DFT calculation (PBE) of a geometry-optimized GeBi3W structure.

## Properties
- uncorrected energy (eV/atom) = -4.245
- Fermi-level density of states (states/eV/f.u.) = 5.30
- size of the total moment (μB per formula unit) = 3.73
- ρ (g/cm3) = 9.3
- E_form (eV per atom) = 1.60
- space group = Pm-3m (221)

abc: 5.411 5.411 5.411
angles: 90.00 90.00 90.00
Each line ends with the local moment (μB).
Atoms (fractional coordinates):
W: 0.500 0.500 0.500  2.94
Bi: 0.000 0.500 0.000  -0.11
Bi: 0.500 0.000 0.000  -0.06
Bi: 0.000 0.000 0.500  -0.10
Ge: 0.000 0.000 0.000  0.01

=====

# 3
The following is a DFT calculation (PBE) of a geometry-optimized AcDyCdPt structure.

## Properties
- uncorrected energy (eV/atom) = -4.509
- Fermi-level density of states (states/eV/f.u.) = 3.11
- size of the total moment (μB per formula unit) = 0.00
- ρ (g/cm3) = 10.8
- E_form (eV per atom) = -0.59
- space group = F-43m (216)

abc: 5.335 5.335 5.335
angles: 60.00 60.00 60.00
Atoms (fractional coordinates):
Cd: 0.250 0.250 0.250
Ac: 0.500 0.500 0.500
Pt: 0.750 0.750 0.750
Dy: 0.000 0.000 0.000